YHfTh2 (PBE-GGA, relaxed); energy relative to the lowest polymorph listed for this composition = 0.12 eV/f.u.; D(E_F) = 5.6 states/eV per cell; energy of formation from the pure elements = 0.14 eV per atom; SG = No. 123
1.0
4.930 0.000 0.000
0.000 4.930 0.000
0.000 0.000 4.860
Y Hf Th
1 1 2
direct
0.000 0.000 0.000
0.500 0.500 0.000
0.000 0.500 0.500
0.500 0.000 0.500



HfTh2Zn (PBE-GGA, relaxed); energy relative to the lowest polymorph listed for this composition = 0.00 eV/f.u.; D(E_F) = 6.2 states/eV per cell; energy of formation from the pure elements = 0.04 eV per atom; SG = No. 123
1.0
3.373 0.000 0.000
0.000 3.373 0.000
0.000 0.000 9.246
Hf Th Zn
1 2 1
direct
0.000 0.000 0.000
0.500 0.500 0.262
0.500 0.500 0.738
0.000 0.000 0.500



HfThZn4 (PBE-GGA, relaxed); energy relative to the lowest polymorph listed for this composition = 0.00 eV/f.u.; D(E_F) = 4.2 states/eV per cell; energy of formation from the pure elements = -0.20 eV per atom; SG = No. 47
1.0
3.279 0.000 0.000
0.000 4.463 0.000
0.000 0.000 7.884
Hf Th Zn
1 1 4
direct
0.000 0.000 0.000
0.000 0.500 0.500
0.500 0.000 0.311
0.500 0.000 0.689
0.500 0.500 0.154
0.500 0.500 0.846